1.
This record from Alexandria describes crystalline Tb3Y2Tm6 at its relaxed geometry. The functional is PBE.

Output
* energy of formation: 0.287 eV/atom
* total moment: 0.0 μB/f.u.
* electronic total energy: -4.59 eV/atom
* volume: 32.963 A^3/atom

CIF file:
```
data_Tb3Y2Tm6
_chemical_formula_sum 'Tb6 Y4 Tm12'
_cell_length_a 4.681
_cell_length_b 4.681
_cell_length_c 33.091
_cell_angle_alpha 90.00
_cell_angle_beta 90.00
_cell_angle_gamma 90.00
_space_group_name_H-M_alt 'I 4/m m m'
_space_group_IT_number 139
_space_group_name_Hall '-I 4 2'
loop_
_atom_site_label
_atom_site_fract_x
_atom_site_fract_y
_atom_site_fract_z
Tb1 0.000 0.000 0.000
Tb2 0.000 0.000 0.202
Y1 0.000 0.000 0.453
Tm1 0.000 0.000 0.305
Tm2 0.000 0.500 0.123
```

2.
This record from Alexandria describes crystalline Tb3Y3Tm8 at its relaxed geometry. The functional is PBE.

Output
* energy of formation: 0.121 eV/atom
* total moment: 0.0 μB/f.u.
* electronic total energy: -4.81 eV/atom
* volume: 31.534 A^3/atom

CIF file:
```
data_Tb3Y3Tm8
_chemical_formula_sum 'Tb6 Y6 Tm16'
_cell_length_a 5.562
_cell_length_b 10.782
_cell_length_c 14.723
_cell_angle_alpha 90.00
_cell_angle_beta 90.00
_cell_angle_gamma 90.00
_space_group_name_H-M_alt 'I m m m'
_space_group_IT_number 71
_space_group_name_Hall '-I 2 2'
loop_
_atom_site_label
_atom_site_fract_x
_atom_site_fract_y
_atom_site_fract_z
Tb1 0.000 0.000 0.000
Tb2 0.000 0.500 0.317
Y1 0.000 0.000 0.500
Y2 0.000 0.297 0.500
Tm1 0.000 0.159 0.277
Tm2 0.000 0.344 0.104
```

3.
This record from Alexandria describes crystalline Tb3Y2Tm2 at its relaxed geometry. The functional is PBE.

Output
* ΔE to the lowest computed polymorph: 0 kJ/mol of formula units
* energy of formation: 0.022 eV/atom
* total moment: 0.0 μB/f.u.
* electronic total energy: -5.09 eV/atom
* volume: 31.442 A^3/atom

CIF file:
```
data_Tb3Y2Tm2
_chemical_formula_sum 'Tb6 Y4 Tm4'
_cell_length_a 15.461
_cell_length_b 3.538
_cell_length_c 8.679
_cell_angle_alpha 90.00
_cell_angle_beta 112.00
_cell_angle_gamma 90.00
_space_group_name_H-M_alt 'C 1 2/m 1'
_space_group_IT_number 12
_space_group_name_Hall '-C 2y'
loop_
_atom_site_label
_atom_site_fract_x
_atom_site_fract_y
_atom_site_fract_z
Tb1 0.000 0.000 0.000
Tb2 0.214 0.500 0.144
Y1 0.071 0.500 0.712
Tm1 0.144 0.000 0.429
```

4.
This record from Alexandria describes crystalline TbY4Tm3 at its relaxed geometry. The functional is PBE.

Output
* ΔE to the lowest computed polymorph: 173 kJ/mol of formula units
* energy of formation: 0.225 eV/atom
* total moment: 0.0 μB/f.u.
* electronic total energy: -5.26 eV/atom
* volume: 32.415 A^3/atom

CIF file:
```
data_TbY4Tm3
_chemical_formula_sum 'Tb2 Y8 Tm6'
_cell_length_a 5.580
_cell_length_b 26.153
_cell_length_c 3.554
_cell_angle_alpha 90.00
_cell_angle_beta 90.00
_cell_angle_gamma 90.00
_space_group_name_H-M_alt 'C m m m'
_space_group_IT_number 65
_space_group_name_Hall '-C 2 2'
loop_
_atom_site_label
_atom_site_fract_x
_atom_site_fract_y
_atom_site_fract_z
Tb1 0.000 0.000 0.000
Y1 0.000 0.103 0.500
Y2 0.000 0.223 0.500
Tm1 0.000 0.344 0.000
Tm2 0.000 0.500 0.500
```

5.
This record from Alexandria describes crystalline Tb5Y5Tm2 at its relaxed geometry. The functional is PBE.

Output
* ΔE to the lowest computed polymorph: 0 kJ/mol of formula units
* energy of formation: 0.021 eV/atom
* total moment: 0.0 μB/f.u.
* electronic total energy: -5.35 eV/atom
* volume: 31.703 A^3/atom

CIF file:
```
data_Tb5Y5Tm2
_chemical_formula_sum 'Tb10 Y10 Tm4'
_cell_length_a 15.064
_cell_length_b 5.026
_cell_length_c 11.234
_cell_angle_alpha 90.00
_cell_angle_beta 116.54
_cell_angle_gamma 90.00
_space_group_name_H-M_alt 'C 1 2/m 1'
_space_group_IT_number 12
_space_group_name_Hall '-C 2y'
loop_
_atom_site_label
_atom_site_fract_x
_atom_site_fract_y
_atom_site_fract_z
Tb1 0.000 0.000 0.000
Tb2 0.082 0.000 0.750
Tb3 0.167 0.000 0.500
Y1 0.000 0.500 0.500
Y2 0.166 0.500 0.000
Y3 0.249 0.000 0.250
Tm1 0.083 0.500 0.251
```

6.
This record from Alexandria describes crystalline Tb4YTm10 at its relaxed geometry. The functional is PBE.

Output
* energy of formation: 0.467 eV/atom
* total moment: 0.0 μB/f.u.
* electronic total energy: -4.18 eV/atom
* volume: 35.301 A^3/atom

CIF file:
```
data_Tb4YTm10
_chemical_formula_sum 'Tb8 Y2 Tm20'
_cell_length_a 9.692
_cell_length_b 9.692
_cell_length_c 11.274
_cell_angle_alpha 90.00
_cell_angle_beta 90.00
_cell_angle_gamma 90.00
_space_group_name_H-M_alt 'I 4/m'
_space_group_IT_number 87
_space_group_name_Hall '-I 4'
loop_
_atom_site_label
_atom_site_fract_x
_atom_site_fract_y
_atom_site_fract_z
Tb1 0.075 0.332 0.000
Y1 0.000 0.000 0.500
Tm1 0.000 0.500 0.250
Tm2 0.117 0.229 0.338
```

7.
This record from Alexandria describes crystalline TbY2Tm7 at its relaxed geometry. The functional is PBE.

Output
* ΔE to the lowest computed polymorph: 570 kJ/mol of formula units
* energy of formation: 0.716 eV/atom
* total moment: 0.0 μB/f.u.
* electronic total energy: -4.17 eV/atom
* volume: 37.558 A^3/atom

CIF file:
```
data_TbY2Tm7
_chemical_formula_sum 'Tb2 Y4 Tm14'
_cell_length_a 8.513
_cell_length_b 17.583
_cell_length_c 5.019
_cell_angle_alpha 90.00
_cell_angle_beta 90.00
_cell_angle_gamma 90.00
_space_group_name_H-M_alt 'C m m m'
_space_group_IT_number 65
_space_group_name_Hall '-C 2 2'
loop_
_atom_site_label
_atom_site_fract_x
_atom_site_fract_y
_atom_site_fract_z
Tb1 0.000 0.000 0.000
Y1 0.000 0.297 0.500
Tm1 0.000 0.191 0.000
Tm2 0.000 0.500 0.500
Tm3 0.180 0.105 0.500
```

8.
This record from Alexandria describes crystalline Tb3Y5Tm2 at its relaxed geometry. The functional is PBE.

Output
* ΔE to the lowest computed polymorph: 0 kJ/mol of formula units
* energy of formation: 0.193 eV/atom
* total moment: 0.0 μB/f.u.
* electronic total energy: -5.32 eV/atom
* volume: 32.792 A^3/atom

CIF file:
```
data_Tb3Y5Tm2
_chemical_formula_sum 'Tb12 Y20 Tm8'
_cell_length_a 10.704
_cell_length_b 15.877
_cell_length_c 9.388
_cell_angle_alpha 90.00
_cell_angle_beta 124.70
_cell_angle_gamma 90.00
_space_group_name_H-M_alt 'C 1 2/c 1'
_space_group_IT_number 15
_space_group_name_Hall '-C 2yc'
loop_
_atom_site_label
_atom_site_fract_x
_atom_site_fract_y
_atom_site_fract_z
Tb1 0.000 0.030 0.250
Tb2 0.147 0.378 0.546
Y1 0.000 0.229 0.250
Y2 0.000 0.270 0.750
Y3 0.000 0.472 0.750
Y4 0.245 0.115 0.743
Tm1 0.149 0.119 0.047
```

9.
This record from Alexandria describes crystalline TbY4Tm3 at its relaxed geometry. The functional is PBE.

Output
* ΔE to the lowest computed polymorph: 0 kJ/mol of formula units
* energy of formation: 0.001 eV/atom
* total moment: 0.0 μB/f.u.
* electronic total energy: -5.49 eV/atom
* volume: 31.746 A^3/atom

CIF file:
```
data_TbY4Tm3
_chemical_formula_sum 'Tb2 Y8 Tm6'
_cell_length_a 11.198
_cell_length_b 7.248
_cell_length_c 6.258
_cell_angle_alpha 90.00
_cell_angle_beta 90.00
_cell_angle_gamma 90.00
_space_group_name_H-M_alt 'P m n 21'
_space_group_IT_number 31
_space_group_name_Hall 'P 2ac -2'
loop_
_atom_site_label
_atom_site_fract_x
_atom_site_fract_y
_atom_site_fract_z
Tb1 0.000 0.123 0.000
Y1 0.000 0.372 0.497
Y2 0.000 0.627 0.995
Y3 0.249 0.627 0.333
Tm1 0.000 0.877 0.499
Tm2 0.250 0.123 0.330
```

10.
This record from Alexandria describes crystalline Tb2Y2Tm3 at its relaxed geometry. The functional is PBE.

Output
* ΔE to the lowest computed polymorph: 0 kJ/mol of formula units
* energy of formation: 0.210 eV/atom
* total moment: 0.0 μB/f.u.
* electronic total energy: -4.88 eV/atom
* volume: 32.056 A^3/atom

CIF file:
```
data_Tb2Y2Tm3
_chemical_formula_sum 'Tb4 Y4 Tm6'
_cell_length_a 6.388
_cell_length_b 10.863
_cell_length_c 6.480
_cell_angle_alpha 90.00
_cell_angle_beta 93.58
_cell_angle_gamma 90.00
_space_group_name_H-M_alt 'P 1 21/c 1'
_space_group_IT_number 14
_space_group_name_Hall '-P 2ybc'
loop_
_atom_site_label
_atom_site_fract_x
_atom_site_fract_y
_atom_site_fract_z
Tb1 0.055 0.150 0.459
Y1 0.379 0.734 0.743
Tm1 0.247 0.044 0.960
Tm2 0.500 0.000 0.500
```

> Which value of volume does entry 2 give?

31.534 A^3/atom